(1)
First-principles (PBE-GGA) data for Cs2MnSnSe4 after structural relaxation, as listed in Alexandria via LeMat-Bulk.

Geometry as CIF:
```
data_Cs2MnSnSe4
_cell_length_a 6.416
_cell_length_b 8.135
_cell_length_c 13.057
_cell_angle_alpha 84.44
_cell_angle_beta 75.78
_cell_angle_gamma 66.77
_space_group_name_H-M_alt 'P 1'
_space_group_IT_number 1
_space_group_name_Hall 'P 1'
loop_
_atom_site_label
_atom_site_type_symbol
_atom_site_fract_x
_atom_site_fract_y
_atom_site_fract_z
_atom_site_occupancy
Mn1 Mn 0.500 0.000 0.000 1
Mn2 Mn 0.250 0.500 0.500 1
Sn1 Sn 0.000 0.000 0.000 1
Sn2 Sn 0.750 0.500 0.500 1
Se1 Se 0.209 0.191 0.888 1
Se2 Se 0.288 0.809 0.112 1
Se3 Se 0.462 0.691 0.388 1
Se4 Se 0.847 0.691 0.612 1
Se5 Se 0.903 0.809 0.888 1
Se6 Se 0.149 0.309 0.388 1
Se7 Se 0.541 0.309 0.612 1
Se8 Se 0.601 0.191 0.112 1
Cs1 Cs 0.819 0.000 0.362 1
Cs2 Cs 0.181 0.000 0.638 1
Cs3 Cs 0.569 0.500 0.862 1
Cs4 Cs 0.931 0.500 0.138 1
```

Output
For the uncorrected formation energy, the calculation gives -80.8 kJ/mol of atoms.

(2)
First-principles (PBE-GGA) data for RbRuI6 after structural relaxation, as listed in Alexandria via LeMat-Bulk.

Geometry as CIF:
```
data_RbRuI6
_cell_length_a 6.597
_cell_length_b 6.597
_cell_length_c 7.716
_cell_angle_alpha 81.09
_cell_angle_beta 81.09
_cell_angle_gamma 96.37
_space_group_name_H-M_alt 'P 1'
_space_group_IT_number 1
_space_group_name_Hall 'P 1'
loop_
_atom_site_label
_atom_site_type_symbol
_atom_site_fract_x
_atom_site_fract_y
_atom_site_fract_z
_atom_site_occupancy
I1 I 0.672 0.047 0.243 1
I2 I 0.328 0.953 0.757 1
I3 I 0.953 0.328 0.757 1
I4 I 0.748 0.748 0.864 1
I5 I 0.252 0.252 0.136 1
I6 I 0.047 0.672 0.243 1
Ru1 Ru 0.000 0.000 0.000 1
Rb1 Rb 0.500 0.500 0.500 1
```

Output
For the uncorrected formation energy, the calculation gives -30.2 kJ/mol of atoms. The value obtained for the density of states at the Fermi level is 8.59 states/eV per cell.

(3)
First-principles (PBE-GGA) data for LiNd4Sm5 after structural relaxation, as listed in Alexandria via LeMat-Bulk.

Geometry as CIF:
```
data_LiNd4Sm5
_cell_length_a 3.667
_cell_length_b 3.667
_cell_length_c 24.564
_cell_angle_alpha 90.00
_cell_angle_beta 90.00
_cell_angle_gamma 90.00
_space_group_name_H-M_alt 'P 1'
_space_group_IT_number 1
_space_group_name_Hall 'P 1'
loop_
_atom_site_label
_atom_site_type_symbol
_atom_site_fract_x
_atom_site_fract_y
_atom_site_fract_z
_atom_site_occupancy
Nd1 Nd 0.000 0.000 0.816 1
Nd2 Nd 0.000 0.000 0.184 1
Nd3 Nd 0.000 0.000 0.605 1
Nd4 Nd 0.000 0.000 0.395 1
Sm1 Sm 0.500 0.500 0.918 1
Sm2 Sm 0.500 0.500 0.082 1
Sm3 Sm 0.500 0.500 0.289 1
Sm4 Sm 0.500 0.500 0.500 1
Sm5 Sm 0.500 0.500 0.711 1
Li1 Li 0.000 0.000 0.000 1
```

Output
Its formation energy from the elements is 0.33 eV per formula unit. The value obtained for the density of states at the Fermi level is 13.13 states/eV per cell.

(4)
First-principles (PBE-GGA) data for LuSnPt after structural relaxation, as listed in Alexandria via LeMat-Bulk.

Geometry as CIF:
```
data_LuSnPt
_cell_length_a 3.960
_cell_length_b 7.450
_cell_length_c 7.450
_cell_angle_alpha 120.00
_cell_angle_beta 90.00
_cell_angle_gamma 90.00
_space_group_name_H-M_alt 'P 1'
_space_group_IT_number 1
_space_group_name_Hall 'P 1'
loop_
_atom_site_label
_atom_site_type_symbol
_atom_site_fract_x
_atom_site_fract_y
_atom_site_fract_z
_atom_site_occupancy
Lu1 Lu 0.000 0.404 0.404 1
Lu2 Lu 0.000 0.596 0.000 1
Lu3 Lu 0.000 0.000 0.596 1
Pt1 Pt 0.500 0.333 0.667 1
Pt2 Pt 0.500 0.667 0.333 1
Pt3 Pt 0.000 0.000 0.000 1
Sn1 Sn 0.500 0.261 0.000 1
Sn2 Sn 0.500 0.000 0.261 1
Sn3 Sn 0.500 0.739 0.739 1
```

Output
Its formation energy from the elements is -3.25 eV per formula unit. The value obtained for the density of states at the Fermi level is 2.91 states/eV per cell.

(5)
First-principles (PBE-GGA) data for TaAg4Mo after structural relaxation, as listed in Alexandria via LeMat-Bulk.

Geometry as CIF:
```
data_TaAg4Mo
_cell_length_a 5.313
_cell_length_b 5.313
_cell_length_c 5.313
_cell_angle_alpha 60.00
_cell_angle_beta 60.00
_cell_angle_gamma 60.00
_space_group_name_H-M_alt 'P 1'
_space_group_IT_number 1
_space_group_name_Hall 'P 1'
loop_
_atom_site_label
_atom_site_type_symbol
_atom_site_fract_x
_atom_site_fract_y
_atom_site_fract_z
_atom_site_occupancy
Ag1 Ag 0.125 0.625 0.625 1
Ag2 Ag 0.625 0.125 0.625 1
Ag3 Ag 0.625 0.625 0.625 1
Ag4 Ag 0.625 0.625 0.125 1
Ta1 Ta 0.000 0.000 0.000 1
Mo1 Mo 0.250 0.250 0.250 1
```

Output
Its formation energy from the elements is 4.40 eV per formula unit. The value obtained for the density of states at the Fermi level is 8.10 states/eV per cell.

(6)
First-principles (PBE-GGA) data for BaAgPRu after structural relaxation, as listed in Alexandria via LeMat-Bulk.

Geometry as CIF:
```
data_BaAgPRu
_cell_length_a 4.056
_cell_length_b 4.056
_cell_length_c 11.690
_cell_angle_alpha 90.00
_cell_angle_beta 90.00
_cell_angle_gamma 90.00
_space_group_name_H-M_alt 'P 1'
_space_group_IT_number 1
_space_group_name_Hall 'P 1'
loop_
_atom_site_label
_atom_site_type_symbol
_atom_site_fract_x
_atom_site_fract_y
_atom_site_fract_z
_atom_site_occupancy
Ag1 Ag 0.250 0.750 0.500 1
Ag2 Ag 0.750 0.250 0.500 1
Ba1 Ba 0.750 0.750 0.249 1
Ba2 Ba 0.250 0.250 0.751 1
Ru1 Ru 0.750 0.250 0.000 1
Ru2 Ru 0.250 0.750 0.000 1
P1 P 0.250 0.250 0.100 1
P2 P 0.750 0.750 0.900 1
```

Output
Its formation energy from the elements is -2.56 eV per formula unit. The value obtained for the density of states at the Fermi level is 3.86 states/eV per cell.

(7)
First-principles (PBE-GGA) data for B4Os after structural relaxation, as listed in Alexandria via LeMat-Bulk.

Geometry as CIF:
```
data_B4Os
_cell_length_a 5.344
_cell_length_b 5.344
_cell_length_c 6.462
_cell_angle_alpha 90.00
_cell_angle_beta 90.00
_cell_angle_gamma 120.00
_space_group_name_H-M_alt 'P 1'
_space_group_IT_number 1
_space_group_name_Hall 'P 1'
loop_
_atom_site_label
_atom_site_type_symbol
_atom_site_fract_x
_atom_site_fract_y
_atom_site_fract_z
_atom_site_occupancy
B1 B 0.667 0.333 0.384 1
B2 B 0.665 0.665 0.000 1
B3 B 0.333 0.667 0.616 1
B4 B 0.335 0.000 0.000 1
B5 B 0.665 0.665 0.500 1
B6 B 0.000 0.335 0.000 1
B7 B 0.335 0.335 0.500 1
B8 B 0.665 0.000 0.500 1
B9 B 0.665 0.000 0.000 1
B10 B 0.335 0.335 0.000 1
B11 B 0.335 0.000 0.500 1
B12 B 0.000 0.335 0.500 1
B13 B 0.000 0.665 0.500 1
B14 B 0.000 0.665 0.000 1
B15 B 0.333 0.667 0.884 1
B16 B 0.667 0.333 0.116 1
Os1 Os 0.667 0.333 0.750 1
Os2 Os 0.000 0.000 0.750 1
Os3 Os 0.000 0.000 0.250 1
Os4 Os 0.333 0.667 0.250 1
```

Output
The value obtained for the polymorph energy (0 for the lowest one) is 0.00 eV/f.u. Its formation energy from the elements is 3.27 eV per formula unit. The value obtained for the density of states at the Fermi level is 11.63 states/eV per cell.

(8)
First-principles (PBE-GGA) data for La6Ge2Se3I after structural relaxation, as listed in Alexandria via LeMat-Bulk.

Geometry as CIF:
```
data_La6Ge2Se3I
_cell_length_a 4.393
_cell_length_b 8.875
_cell_length_c 9.822
_cell_angle_alpha 102.13
_cell_angle_beta 102.92
_cell_angle_gamma 90.00
_space_group_name_H-M_alt 'P 1'
_space_group_IT_number 1
_space_group_name_Hall 'P 1'
loop_
_atom_site_label
_atom_site_type_symbol
_atom_site_fract_x
_atom_site_fract_y
_atom_site_fract_z
_atom_site_occupancy
La1 La 0.324 0.900 0.648 1
La2 La 0.676 0.100 0.352 1
La3 La 0.995 0.723 0.989 1
La4 La 0.005 0.277 0.011 1
La5 La 0.669 0.578 0.338 1
La6 La 0.331 0.422 0.662 1
Se1 Se 0.500 0.500 0.000 1
Se2 Se 0.162 0.835 0.324 1
Se3 Se 0.838 0.165 0.676 1
Ge1 Ge 0.166 0.330 0.332 1
Ge2 Ge 0.834 0.670 0.668 1
I1 I 0.500 0.000 0.000 1
```

Output
For the uncorrected formation energy, the calculation gives -145.3 kJ/mol of atoms. The value obtained for the density of states at the Fermi level is 5.33 states/eV per cell.